A relaxed structure of Pm4Sm2Y2Er, computed with PBE-GGA.

a = 5.1128 Å, b = 8.0916 Å, c = 8.0623 Å
α = 107.56°, β = 90.00°, γ = 108.42°
Sites, in units of the cell vectors:
Pm (0.5552, 0.1103, 0.3319)
Pm (0.7781, 0.5561, 0.6672)
Pm (0.4448, 0.8897, 0.6681)
Pm (0.2219, 0.4439, 0.3328)
Y (0.3339, 0.6678, 0.0000)
Y (0.6661, 0.3322, 0.0000)
Sm (0.1110, 0.2220, 0.6679)
Sm (0.8890, 0.7780, 0.3321)
Er (0.0000, 0.0000, 0.0000)

Summary:
Energy of formation in eV/atom: 0.0185
Volume in Å³ per atom: 33.34
ρ in g/cm3: 6.78
D(E_F) in states/eV per cell: 14.0